No. 1
LiCrCl after structural relaxation. Source: Alexandria via LeMat-Bulk, functional PBE.

Results
Polymorph energy (0 for the lowest one) ... 0.048 eV/atom
Total energy ... -0.3369 Ry per atom
Space group ... I4mm, No. 107
Energy relative to the elements, uncorrected ... -0.12 eV per atom

```
LiCrCl
1.0
6.133 0.004 0.000
4.482 4.186 0.000
-5.307 -2.095 2.248
Cl Cr Li
1 1 1
Direct
0.030 0.030 0.000 Cl
0.339 0.339 0.000 Cr
0.631 0.631 0.000 Li
```

No. 2
LiCr2Cl after structural relaxation. Source: Alexandria via LeMat-Bulk, functional PBE.

Results
Polymorph energy (0 for the lowest one) ... 0.933 eV/atom
Total energy ... -0.3677 Ry per atom
Space group ... Fm-3m, No. 225
Energy relative to the elements, uncorrected ... 0.75 eV per atom

```
LiCr2Cl
1.0
0.000 3.384 3.384
3.384 0.000 3.384
3.384 3.384 0.000
Li Cl Cr
1 1 2
Direct
0.000 0.000 0.000 Li
0.500 0.500 0.500 Cl
0.250 0.250 0.250 Cr
0.750 0.750 0.750 Cr
```

No. 3
Li5CrCl8 after structural relaxation. Source: Alexandria via LeMat-Bulk, functional PBE.

Results
Total energy ... -0.2970 Ry per atom
Space group ... Cmmm, No. 65
Energy relative to the elements, uncorrected ... -1.61 eV per atom

```
Li5CrCl8
1.0
6.306 0.000 0.000
-2.057 5.961 0.000
0.000 0.000 7.288
Li Cl Cr
5 8 1
Direct
0.000 0.500 0.233 Li
0.000 0.500 0.767 Li
0.500 0.000 0.233 Li
0.500 0.500 0.000 Li
0.500 0.000 0.767 Li
0.272 0.272 0.730 Cl
0.728 0.728 0.270 Cl
0.731 0.269 0.500 Cl
0.269 0.731 0.500 Cl
0.253 0.747 0.000 Cl
0.272 0.272 0.270 Cl
0.747 0.253 0.000 Cl
0.728 0.728 0.730 Cl
0.500 0.500 0.500 Cr
```

No. 4
LiCr2NCl after structural relaxation. Source: Alexandria via LeMat-Bulk, functional PBE.

Results
Total energy ... -0.4797 Ry per atom
Space group ... P4/mmm, No. 123
Energy relative to the elements, uncorrected ... -0.26 eV per atom

```
LiCr2NCl
1.0
3.806 0.000 0.000
0.000 7.413 0.000
0.000 0.000 3.806
N Cl Cr Li
1 1 2 1
Direct
0.000 0.000 0.000 N
0.000 0.500 0.000 Cl
0.000 0.000 0.500 Cr
0.500 0.000 0.000 Cr
0.500 0.500 0.500 Li
```

No. 5
Na3Li3CrCl8 after structural relaxation. Source: Alexandria via LeMat-Bulk, functional PBE.

Results
Total energy ... -0.2858 Ry per atom
Space group ... R-3m, No. 166
Energy relative to the elements, uncorrected ... -1.61 eV per atom

```
Na3Li3CrCl8
1.0
7.539 0.000 0.000
-3.770 6.532 -0.022
0.000 -4.332 6.438
Na Li Cl Cr
3 3 8 1
Direct
0.000 0.000 0.000 Na
0.000 0.500 0.000 Na
0.500 0.500 0.000 Na
0.000 0.500 0.500 Li
0.500 0.500 0.500 Li
0.500 0.000 0.500 Li
0.766 0.532 0.282 Cl
0.257 0.515 0.272 Cl
0.234 0.985 0.718 Cl
0.751 0.985 0.718 Cl
0.249 0.015 0.282 Cl
0.234 0.468 0.718 Cl
0.743 0.485 0.728 Cl
0.766 0.015 0.282 Cl
0.000 0.000 0.500 Cr
```

No. 6
LiCrPCl2 after structural relaxation. Source: Alexandria via LeMat-Bulk, functional PBE.

Results
Polymorph energy (0 for the lowest one) ... 0.000 eV/atom
Total energy ... -0.3372 Ry per atom
Space group ... P4/mmm, No. 123
Energy relative to the elements, uncorrected ... -0.46 eV per atom

```
LiCrPCl2
1.0
-2.564 -4.122 1.059
3.787 -1.646 2.763
-1.774 2.041 3.648
Cl Cr P Li
2 1 1 1
Direct
0.000 0.500 0.000 Cl
0.500 0.000 0.000 Cl
0.000 0.000 0.000 Cr
0.000 0.000 0.500 P
0.500 0.500 0.500 Li
```

No. 7
LiCrPCl2 after structural relaxation. Source: Alexandria via LeMat-Bulk, functional PBE.

Results
Polymorph energy (0 for the lowest one) ... 0.576 eV/atom
Total energy ... -0.2949 Ry per atom
Space group ... P4/mmm, No. 123
Energy relative to the elements, uncorrected ... 0.12 eV per atom

```
LiCrPCl2
1.0
4.476 0.000 0.000
0.000 4.476 0.000
0.000 0.000 5.104
P Cr Li Cl
1 1 1 2
Direct
0.000 0.000 0.500 P
0.500 0.500 0.500 Cr
0.000 0.000 0.000 Li
0.500 0.000 0.000 Cl
0.000 0.500 0.000 Cl
```

No. 8
LiCrPbCl6 after structural relaxation. Source: Alexandria via LeMat-Bulk, functional PBE.

Results
Total energy ... -0.3077 Ry per atom
Space group ... P-31c, No. 163
Energy relative to the elements, uncorrected ... -1.26 eV per atom

```
LiCrPbCl6
1.0
-6.261 1.460 0.615
2.229 -2.373 -5.577
-2.273 -11.413 3.948
Pb Cl Li Cr
2 12 2 2
Direct
0.000 0.000 0.500 Pb
0.000 0.000 0.000 Pb
0.379 0.356 0.361 Cl
0.644 0.621 0.139 Cl
0.356 0.978 0.639 Cl
0.022 0.379 0.639 Cl
0.022 0.644 0.861 Cl
0.621 0.644 0.639 Cl
0.379 0.022 0.139 Cl
0.356 0.379 0.861 Cl
0.978 0.621 0.361 Cl
0.978 0.356 0.139 Cl
0.621 0.978 0.861 Cl
0.644 0.022 0.361 Cl
0.333 0.667 0.250 Li
0.667 0.333 0.750 Li
0.333 0.667 0.750 Cr
0.667 0.333 0.250 Cr
```